## one
Entry from Alexandria via LeMat-Bulk: a relaxed structure of TmPuSn (PBE).

a = 3.4739 Å, b = 5.2135 Å, c = 5.2135 Å
α = 120.00°, β = 90.00°, γ = 90.00°
With the nearest neighbours (Å) after each atom.
Element x y z (fractional)
Tm1 0.7369 0.3333 0.6667  3 Sn 3.10, 3 Pu 3.35-3.36, 2 Tm 3.47
Sn1 0.9527 0.0000 0.0000  3 Tm 3.10, 3 Pu 3.26, 2 Sn 3.47
Pu1 0.3104 0.6667 0.3333  3 Sn 3.26, 6 Tm 3.35-3.61, 2 Pu 3.47

Results
D(E_F) = 6.52 states/eV per cell
Space-group type = No. 156

---

## two
Entry from Alexandria via LeMat-Bulk: a relaxed structure of TmPuSn (PBE).

a = 3.1842 Å, b = 3.1842 Å, c = 9.0197 Å
α = 100.17°, β = 100.17°, γ = 90.00°
With the nearest neighbours (Å) after each atom.
Element x y z (fractional)
Sn1 0.1321 0.1321 0.2642  1 Pu 3.17, 4 Sn 3.18, 4 Tm 3.26
Tm1 0.7671 0.7671 0.5342  4 Tm 3.18, 1 Pu 3.21, 4 Sn 3.26
Pu1 0.9508 0.9508 0.9016  1 Sn 3.17, 4 Pu 3.18, 1 Tm 3.21

Results
D(E_F) = 6.95 states/eV per cell
Space-group type = No. 107

---

## three
Entry from Alexandria via LeMat-Bulk: a relaxed structure of TmPuSn (PBE).

a = 5.4108 Å, b = 6.2508 Å, c = 5.4117 Å
α = 90.00°, β = 119.99°, γ = 90.00°
With the nearest neighbours (Å) after each atom.
Element x y z (fractional)
Tm1 0.3333 0.7500 0.1666  5 Sn 3.12-3.13, 6 Pu 3.49
Tm2 0.6667 0.2500 0.8334  5 Sn 3.12-3.13, 6 Pu 3.49
Sn1 0.6667 0.7500 0.8333  5 Tm 3.12-3.13, 6 Pu 3.49
Sn2 0.3333 0.2500 0.1667  5 Tm 3.12-3.13, 6 Pu 3.49
Pu1 0.0000 0.5000 0.5000  2 Pu 3.13, 6 Sn 3.49, 6 Tm 3.49
Pu2 0.0000 0.0000 0.5000  2 Pu 3.13, 6 Sn 3.49, 6 Tm 3.49

Results
D(E_F) = 14.09 states/eV per cell
Space-group type = No. 194

---

## four
Entry from Alexandria via LeMat-Bulk: a relaxed structure of TmPuSn (PBE).

a = 4.2692 Å, b = 4.2692 Å, c = 5.9489 Å
α = 90.00°, β = 90.00°, γ = 90.00°
With the nearest neighbours (Å) after each atom.
Element x y z (fractional)
Pu1 0.5000 0.5000 0.0000  2 Tm 2.97, 4 Sn 3.02
Sn1 0.0000 0.0000 0.0000  4 Pu 3.02
Tm1 0.5000 0.5000 0.5000  2 Pu 2.97

Results
D(E_F) = 10.83 states/eV per cell
Space-group type = No. 123

---

Least stable structure: four

---

## one
Entry from Alexandria via LeMat-Bulk: a relaxed structure of TmPu2Sn (PBE).

a = 5.3484 Å, b = 5.3484 Å, c = 5.3484 Å
α = 60.00°, β = 60.00°, γ = 60.00°
With the nearest neighbours (Å) after each atom.
Element x y z (fractional)
Tm1 0.0000 0.0000 0.0000  8 Pu 3.28
Pu1 0.7500 0.7500 0.7500  4 Sn 3.28, 4 Tm 3.28
Pu2 0.2500 0.2500 0.2500  4 Tm 3.28, 4 Sn 3.28
Sn1 0.5000 0.5000 0.5000  8 Pu 3.28

Results
D(E_F) = 13.01 states/eV per cell
Space-group type = No. 225

---

## two
Entry from Alexandria via LeMat-Bulk: a relaxed structure of TmPu2Sn (PBE).

a = 5.0821 Å, b = 4.5364 Å, c = 4.5364 Å
α = 90.00°, β = 90.00°, γ = 90.00°
With the nearest neighbours (Å) after each atom.
Element x y z (fractional)
Tm1 0.5000 0.5000 0.5000  4 Sn 3.21, 8 Pu 3.41
Sn1 0.5000 0.0000 0.0000  4 Tm 3.21, 8 Pu 3.41
Pu1 0.0000 0.0000 0.5000  4 Pu 3.21, 4 Sn 3.41, 4 Tm 3.41
Pu2 0.0000 0.5000 0.0000  4 Pu 3.21, 4 Tm 3.41, 4 Sn 3.41

Results
D(E_F) = 10.51 states/eV per cell
Space-group type = No. 123

---

Least stable structure: one

---

## one
Entry from Alexandria via LeMat-Bulk: a relaxed structure of PuZn2Sn (PBE).

a = 4.9000 Å, b = 4.9000 Å, c = 4.9000 Å
α = 60.00°, β = 60.00°, γ = 60.00°
With the nearest neighbours (Å) after each atom.
Element x y z (fractional)
Pu1 0.0000 0.0000 0.0000  8 Zn 3.00
Zn1 0.2500 0.2500 0.2500  4 Sn 3.00, 4 Pu 3.00
Zn2 0.7500 0.7500 0.7500  4 Sn 3.00, 4 Pu 3.00
Sn1 0.5000 0.5000 0.5000  8 Zn 3.00

Results
D(E_F) = 8.88 states/eV per cell
Space-group type = No. 225

---

## two
Entry from Alexandria via LeMat-Bulk: a relaxed structure of PuZn2Sn (PBE).

a = 3.5414 Å, b = 3.5414 Å, c = 6.9297 Å
α = 90.00°, β = 90.00°, γ = 90.00°
With the nearest neighbours (Å) after each atom.
Element x y z (fractional)
Zn1 0.0000 0.0000 0.7668  4 Sn 2.98, 4 Pu 3.11, 1 Zn 3.23
Zn2 0.0000 0.0000 0.2332  4 Sn 2.98, 4 Pu 3.11, 1 Zn 3.23
Sn1 0.5000 0.5000 0.0000  8 Zn 2.98
Pu1 0.5000 0.5000 0.5000  8 Zn 3.11, 2 Sn 3.46

Results
D(E_F) = 8.34 states/eV per cell
Space-group type = No. 123

---

## three
Entry from Alexandria via LeMat-Bulk: a relaxed structure of PuZn2Sn (PBE).

a = 4.4073 Å, b = 4.4165 Å, c = 4.4165 Å
α = 90.00°, β = 90.00°, γ = 90.00°
With the nearest neighbours (Å) after each atom.
Element x y z (fractional)
Zn1 0.0000 0.0000 0.5000  4 Sn 3.12, 4 Pu 3.12, 4 Zn 3.12
Zn2 0.0000 0.5000 0.0000  4 Pu 3.12, 4 Sn 3.12, 4 Zn 3.12
Pu1 0.5000 0.0000 0.0000  8 Zn 3.12, 4 Sn 3.12
Sn1 0.5000 0.5000 0.5000  8 Zn 3.12, 4 Pu 3.12

Results
D(E_F) = 10.80 states/eV per cell
Space-group type = No. 123

---

Least stable structure: two

---

## one
Entry from Alexandria via LeMat-Bulk: a relaxed structure of Pu2ZrSn (PBE).

a = 5.2454 Å, b = 5.2454 Å, c = 5.2454 Å
α = 60.00°, β = 60.00°, γ = 60.00°
With the nearest neighbours (Å) after each atom.
Element x y z (fractional)
Pu1 0.7500 0.7500 0.7500  4 Zr 3.21, 4 Sn 3.21
Pu2 0.2500 0.2500 0.2500  4 Zr 3.21, 4 Sn 3.21
Zr1 0.0000 0.0000 0.0000  8 Pu 3.21
Sn1 0.5000 0.5000 0.5000  8 Pu 3.21

Results
D(E_F) = 13.45 states/eV per cell
Space-group type = No. 225

---

## two
Entry from Alexandria via LeMat-Bulk: a relaxed structure of Pu2ZrSn (PBE).

a = 4.9397 Å, b = 4.4049 Å, c = 4.4049 Å
α = 90.00°, β = 90.00°, γ = 90.00°
With the nearest neighbours (Å) after each atom.
Element x y z (fractional)
Zr1 0.5000 0.5000 0.5000  4 Sn 3.11, 8 Pu 3.31
Pu1 0.0000 0.5000 0.0000  4 Pu 3.11, 4 Zr 3.31, 4 Sn 3.31
Pu2 0.0000 0.0000 0.5000  4 Pu 3.11, 4 Zr 3.31, 4 Sn 3.31
Sn1 0.5000 0.0000 0.0000  4 Zr 3.11, 8 Pu 3.31

Results
D(E_F) = 10.56 states/eV per cell
Space-group type = No. 123

---

Least stable structure: one

---

## one
Entry from Alexandria via LeMat-Bulk: a relaxed structure of SrPu2Te4 (PBE).

a = 4.4750 Å, b = 7.5679 Å, c = 15.2918 Å
α = 90.00°, β = 90.00°, γ = 107.20°
With the nearest neighbours (Å) after each atom.
Element x y z (fractional)
Pu1 0.8656 0.7312 0.9351  6 Te 3.05-3.13
Pu2 0.8656 0.7312 0.5649  6 Te 3.05-3.13
Pu3 0.1344 0.2688 0.0649  6 Te 3.05-3.13
Pu4 0.1344 0.2688 0.4351  6 Te 3.05-3.13
Te1 0.0564 0.1127 0.2500  2 Pu 3.05, 2 Sr 3.30
Te2 0.9436 0.8873 0.7500  2 Pu 3.05, 2 Sr 3.30
Te3 0.5000 0.0000 0.5000  4 Pu 3.13
Te4 0.7716 0.5433 0.3812  3 Pu 3.10-3.12, 2 Sr 3.45
Te5 0.2284 0.4567 0.8812  3 Pu 3.10-3.12, 2 Sr 3.45
Te6 0.7716 0.5433 0.1188  3 Pu 3.10-3.12, 2 Sr 3.45
Te7 0.5000 0.0000 0.0000  4 Pu 3.13
Te8 0.2284 0.4567 0.6188  3 Pu 3.10-3.12, 2 Sr 3.45
Sr1 0.3885 0.7770 0.2500  6 Te 3.30-3.45
Sr2 0.6115 0.2230 0.7500  6 Te 3.30-3.45

Results
D(E_F) = 51.97 states/eV per cell
Space-group type = No. 63

---

## two
Entry from Alexandria via LeMat-Bulk: a relaxed structure of SrPu2Te4 (PBE).

a = 8.2608 Å, b = 8.2606 Å, c = 8.2608 Å
α = 109.47°, β = 109.46°, γ = 109.47°
With the nearest neighbours (Å) after each atom.
Element x y z (fractional)
Te1 0.6107 0.7474 0.0178  4 Pu 3.14-3.40, 2 Sr 3.28-3.45
Te2 0.6133 0.7526 0.5204  4 Pu 3.14-3.40, 2 Sr 3.28-3.45
Te3 0.4796 0.0929 0.2322  4 Pu 3.14-3.40, 2 Sr 3.28-3.45
Te4 0.1393 0.9071 0.3867  4 Pu 3.14-3.40, 2 Sr 3.28-3.45
Te5 0.1367 0.4071 0.3893  4 Pu 3.14-3.40, 2 Sr 3.28-3.45
Te6 0.9822 0.5929 0.7296  4 Pu 3.14-3.40, 2 Sr 3.28-3.45
Te7 0.7678 0.2474 0.8607  4 Pu 3.14-3.40, 2 Sr 3.28-3.45
Te8 0.2704 0.2526 0.8633  4 Pu 3.14-3.40, 2 Sr 3.28-3.45
Sr1 0.7500 0.5000 0.2500  8 Te 3.28-3.45
Sr2 0.0000 0.0000 0.0000  8 Te 3.28-3.45
Pu1 0.3750 0.8780 0.7530  8 Te 3.14-3.40
Pu2 0.5030 0.3780 0.6250  8 Te 3.14-3.40
Pu3 0.8750 0.1220 0.4970  8 Te 3.14-3.40
Pu4 0.2470 0.6220 0.1250  8 Te 3.14-3.40

Results
D(E_F) = 41.56 states/eV per cell
Space-group type = No. 122

---

Least stable structure: one

---

## one
Entry from Alexandria via LeMat-Bulk: a relaxed structure of Pu3Ta (PBE).

a = 5.2329 Å, b = 5.2329 Å, c = 5.2329 Å
α = 127.84°, β = 127.84°, γ = 76.88°
With the nearest neighbours (Å) after each atom.
Element x y z (fractional)
Pu1 0.5000 0.5000 0.0000  8 Pu 3.08, 4 Ta 3.25
Pu2 0.2500 0.7500 0.5000  4 Ta 3.08, 8 Pu 3.08-3.25
Pu3 0.7500 0.2500 0.5000  4 Ta 3.08, 8 Pu 3.08-3.25
Ta1 0.0000 0.0000 0.0000  12 Pu 3.08-3.25

Results
D(E_F) = 11.35 states/eV per cell
Space-group type = No. 139

---

## two
Entry from Alexandria via LeMat-Bulk: a relaxed structure of Pu3Ta (PBE).

a = 4.5171 Å, b = 4.5171 Å, c = 4.5171 Å
α = 90.00°, β = 90.00°, γ = 90.00°
With the nearest neighbours (Å) after each atom.
Element x y z (fractional)
Ta1 0.0000 0.0000 0.0000  12 Pu 3.19
Pu1 0.5000 0.5000 0.0000  8 Pu 3.19, 4 Ta 3.19
Pu2 0.0000 0.5000 0.5000  8 Pu 3.19, 4 Ta 3.19
Pu3 0.5000 0.0000 0.5000  8 Pu 3.19, 4 Ta 3.19

Results
D(E_F) = 12.41 states/eV per cell
Space-group type = No. 221

---

Least stable structure: two